[1]
First-principles (PBE) data for a geometry-optimized Ta2CoMo structure, as listed in the Alexandria database.

extended XYZ file:
```
4
Lattice="3.215 0.000 0.000 0.000 3.215 0.000 0.000 0.000 6.132" Properties=species:S:1:pos:R:3 pbc="T T T"
Ta 1.608 1.607 1.649
Mo 1.608 1.607 4.538
Co 0.000 0.000 3.079
Ta 0.000 0.000 6.063
```

Its calculated formation energy is 0.013 eV per atom. As for the space group: P4mm, No. 99. As for the offset from the most stable computed form: 0.170 eV/atom.

***

[2]
First-principles (PBE) data for a geometry-optimized TaCoMo4 structure, as listed in the Alexandria database.

extended XYZ file:
```
6
Lattice="0.000 3.673 3.673 3.673 0.000 3.673 3.673 3.673 0.000" Properties=species:S:1:pos:R:3 pbc="T T T"
Mo 2.755 4.592 4.592
Mo 4.592 2.755 4.592
Ta 5.510 5.510 5.510
Mo 4.592 4.592 2.755
Co 0.000 0.000 0.000
Mo 2.755 2.755 2.755
```

Its calculated formation energy is 0.391 eV per atom. As for the space group: F-43m, No. 216.

***

[3]
First-principles (PBE) data for a geometry-optimized TaCoMo2 structure, as listed in the Alexandria database.

extended XYZ file:
```
4
Lattice="-7.051 -6.120 1.124 -5.247 -7.803 -0.147 -5.115 -7.450 2.602" Properties=species:S:1:pos:R:3 pbc="T T T"
Mo -8.556 -10.501 1.758
Ta -4.353 -5.343 0.895
Mo -0.151 -0.185 0.031
Co -13.059 -16.029 2.684
```

Its calculated formation energy is 0.316 eV per atom. As for the space group: R-3m, No. 166. As for the offset from the most stable computed form: 0.333 eV/atom.

***

| no. | M_tot (μB per formula unit) |
| --- | --- |
| 1 | 1.53 |
| 2 | 2.47 |
| 3 | 0.42 |